1.
A relaxed structure of Fe2OsRh. Source: Alexandria, functional PBE.

```
Fe2OsRh
1.0
4.507 0.033 0.000
1.353 4.299 0.000
-2.930 -2.166 2.653
Fe Rh Os
2 1 1
direct
0.500 0.500 0.000
0.000 0.000 0.000
0.750 0.250 0.500
0.250 0.750 0.500
```

Properties
The relative energy among the computed polymorphs is 2.5 kJ/mol of atoms. For the density of states at the Fermi level, the calculation gives 4.17 states/eV per cell. Its size of the total moment is 3.7 Bohr magnetons per cell. For the formation energy, the calculation gives 0.1089 eV per atom. Its space-group type is I4/mmm. The calculation puts the total energy at -8.768 eV/atom.

***

2.
A relaxed structure of LiTl3Pd3. Source: Alexandria, functional PBE.

```
LiTl3Pd3
1.0
-0.821 -3.551 4.400
5.358 -0.502 -1.861
-0.927 5.380 1.687
Li Tl Pd
1 3 3
direct
0.000 0.503 0.000
0.500 0.004 0.000
0.500 0.504 0.500
0.000 0.004 0.500
0.500 0.504 0.000
0.000 0.504 0.500
0.500 0.004 0.500
```

Properties
The relative energy among the computed polymorphs is 2.8 kJ/mol of atoms. For the density of states at the Fermi level, the calculation gives 4.17 states/eV per cell. Its size of the total moment is 0.0 Bohr magnetons per cell. For the formation energy, the calculation gives -0.1894 eV per atom. Its space-group type is R3m. The calculation puts the total energy at -3.702 eV/atom.

***

- Number 2 is which compound?
  LiTl3Pd3

***

- Among the records above, which one has the lowest relative energy among the computed polymorphs?
  Fe2OsRh